VASP calculation (PBEsol) on a geometry-optimized Be2AlNi structure.

Geometry as POSCAR:
```
Be2AlNi
1.0
-0.568 -2.309 -0.796
2.038 0.507 -2.923
3.806 -0.462 2.574
Be Al Ni
2 1 1
Direct
0.686 0.500 0.373 Be
0.805 0.000 0.610 Be
0.430 0.500 0.859 Al
0.085 0.000 0.170 Ni
```

Magnetic moment (Bohr magnetons per cell): 0.0
Crystal system: orthorhombic
Density of states at the Fermi level (states/eV per atom): 0.22
Formation energy from the elements (eV per atom): -0.203
Calculated density (Mg/m³): 4.293